Material: GaAs2IrPb
Method: DFT, PBE-GGA
State: relaxed Values from VASP.

Values from the calculation:
- SG = P4/mmm (123)
- M_tot (μB per cell) = 0.00
- DFT total energy (hartree per atom) = -0.1565

Quantum ESPRESSO input file:
```
&SYSTEM
  ibrav = 0, nat = 5, ntyp = 4
/
ATOMIC_SPECIES
Ga 69.72 Ga.upf
As 74.92 As.upf
Ir 192.22 Ir.upf
Pb 207.20 Pb.upf
ATOMIC_POSITIONS angstrom
Ga 0.000 0.000 0.000
As 0.000 2.493 0.000
As 2.493 0.000 0.000
Ir 0.000 0.000 2.352
Pb 2.493 2.493 2.352
CELL_PARAMETERS angstrom
4.986 0.000 0.000
0.000 4.986 0.000
0.000 0.000 4.704
```